# RbNaIO4

RbNaIO4 after structural relaxation (PBE, Alexandria via LeMat-Bulk).

Lattice parameters (Å, degrees): 5.0433 6.3953 8.6738 90.00 109.49 90.00
Each line ends with the local moment (μB).
Fractional positions:
Rb: 0.5331 0.2500 0.1458  0.00
Na: 0.2052 0.2500 0.4636  0.00
O: 0.0702 0.4591 0.2212  0.16
Rb: 0.4669 0.7500 0.8542  0.00
Na: 0.7948 0.7500 0.5364  0.00
I: 0.1584 0.7500 0.2584  0.06
O: 0.2485 0.7500 0.4827  0.01
O: 0.9298 0.9591 0.7788  0.16
O: 0.5133 0.7500 0.2415  0.02
O: 0.4867 0.2500 0.7585  0.02
O: 0.7515 0.2500 0.5173  0.01
O: 0.0702 0.0409 0.2212  0.16
O: 0.9298 0.5409 0.7788  0.16
I: 0.8416 0.2500 0.7416  0.06

Computed properties:
Uncorrected formation energy   -0.9312 eV/atom
Theoretical density   3.770 g/cm³
Volume   264 Å³ per cell
Spin magnetization   0.49 μB/f.u.
E   -0.317 Ry/atom